# GGA-PBE ScAu2Br, optimized geometry
# Polymorph energy (0 for the lowest one), kJ/mol of atoms: 6.6
# V, Å³ per cell: 207.5
data_ScAu2Br
_symmetry_space_group_name_H-M 'I m m 2'
_symmetry_Int_Tables_number 44
_cell_length_a 3.336
_cell_length_b 4.566
_cell_length_c 13.622
_cell_angle_alpha 90.00
_cell_angle_beta 90.00
_cell_angle_gamma 90.00
loop_
_symmetry_equiv_pos_as_xyz
'x,y,z'
'-x,-y,z'
'-x,y,z'
'x,-y,z'
'x+1/2,y+1/2,z+1/2'
'-x+1/2,-y+1/2,z+1/2'
'-x+1/2,y+1/2,z+1/2'
'x+1/2,-y+1/2,z+1/2'
loop_
_atom_site_label
_atom_site_fract_x
_atom_site_fract_y
_atom_site_fract_z
_atom_site_occupancy
Sc1 0.000 0.000 0.000 1
Au1 0.000 0.000 0.559 1
Au2 0.000 0.500 0.672 1
Br1 0.000 0.500 0.347 1

---

# GGA-PBE ScAu2Br, optimized geometry
# Polymorph energy (0 for the lowest one), kJ/mol of atoms: 28.9
# V, Å³ per cell: 328.4
data_ScAu2Br
_symmetry_space_group_name_H-M 'F -4 3 m'
_symmetry_Int_Tables_number 216
_symmetry_space_group_name_Hall 'F -4 2 3'
_cell_length_a 6.899
_cell_length_b 6.899
_cell_length_c 6.899
_cell_angle_alpha 90.00
_cell_angle_beta 90.00
_cell_angle_gamma 90.00
loop_
_atom_site_label
_atom_site_fract_x
_atom_site_fract_y
_atom_site_fract_z
_atom_site_occupancy
Sc1 0.000 0.000 0.000 1
Au1 0.000 0.000 0.500 1
Au2 0.250 0.250 0.250 1
Br1 0.250 0.250 0.750 1

---

# GGA-PBE ScAuBr2, optimized geometry
# Polymorph energy (0 for the lowest one), kJ/mol of atoms: 56.6
# V, Å³ per cell: 177.8
data_ScAuBr2
_symmetry_space_group_name_H-M 'I 4/m m m'
_symmetry_Int_Tables_number 139
_symmetry_space_group_name_Hall '-I 4 2'
_cell_length_a 4.674
_cell_length_b 4.674
_cell_length_c 8.139
_cell_angle_alpha 90.00
_cell_angle_beta 90.00
_cell_angle_gamma 90.00
loop_
_atom_site_label
_atom_site_fract_x
_atom_site_fract_y
_atom_site_fract_z
_atom_site_occupancy
Sc1 0.000 0.000 0.000 1
Au1 0.000 0.000 0.500 1
Br1 0.000 0.500 0.250 1

---

What is the V in the third record?
177.8 Å³ per cell